[1]
A relaxed structure of LaSe2F, computed with GGA-PBE.

The value obtained for the offset from the most stable computed form is 12.8 meV per atom. The value obtained for the density of states at the Fermi level is 0.53 states/eV per cell. Its formation energy (no corrections) is -2192 meV/atom.

It has space group Cm (No. 8), with a = 10.754 Å, b = 4.224 Å, c = 9.048 Å, α = 90.00°, β = 115.53° and γ = 90.00°. Symmetry generates all atoms from La at (0.000, 0.000, 0.000), La at (0.095, 0.500, 0.425), Se at (0.077, 0.000, 0.683), Se at (0.223, 0.500, 0.035), Se at (0.310, 0.000, 0.706), Se at (0.353, 0.500, 0.334), F at (0.120, 0.000, 0.297) and F at (0.479, 0.000, 0.127).


[2]
A relaxed structure of La3Tm3In2, computed with GGA-PBE.

The formation energy is -0.167 eV per atom. The value obtained for the density of states at the Fermi level is 45.60 states/eV per cell.

It has space group Cmcm (No. 63), with a = 5.153 Å, b = 11.891 Å, c = 16.934 Å, α = 90.00°, β = 90.00° and γ = 90.00°. Symmetry generates all atoms from La at (0.000, 0.054, 0.102), La at (0.000, 0.289, 0.250), Tm at (0.000, 0.368, 0.046), Tm at (0.000, 0.428, 0.750) and In at (0.000, 0.239, 0.619).


[3]
A relaxed structure of LaTbPmZn, computed with GGA-PBE.

The formation energy is -0.151 eV per atom. The value obtained for the offset from the most stable computed form is 0.0 meV per atom. The value obtained for the density of states at the Fermi level is 5.87 states/eV per cell.

It has space group P4mm (No. 99), with a = 3.654 Å, b = 3.654 Å, c = 8.825 Å, α = 90.00°, β = 90.00° and γ = 90.00°. Symmetry generates all atoms from La at (0.000, 0.000, 0.000), Tb at (0.500, 0.500, 0.294), Pm at (0.500, 0.500, 0.697) and Zn at (0.000, 0.000, 0.486).


[4]
A relaxed structure of SrTa2Re, computed with GGA-PBE.

The formation energy is 0.846 eV per atom. The value obtained for the offset from the most stable computed form is 369.3 meV per atom. The value obtained for the density of states at the Fermi level is 13.41 states/eV per cell.

It has space group Fm-3m (No. 225), with a = 6.765 Å, b = 6.765 Å, c = 6.765 Å, α = 90.00°, β = 90.00° and γ = 90.00°. Symmetry generates all atoms from Sr at (0.000, 0.000, 0.000), Ta at (0.250, 0.250, 0.250) and Re at (0.000, 0.000, 0.500).


[5]
A relaxed structure of YMg2PtPb, computed with GGA-PBE.

The formation energy is -0.443 eV per atom. The value obtained for the density of states at the Fermi level is 2.04 states/eV per cell.

It has space group P4/mmm (No. 123), with a = 5.026 Å, b = 5.026 Å, c = 5.371 Å, α = 90.00°, β = 90.00° and γ = 90.00°. Symmetry generates all atoms from Y at (0.000, 0.000, 0.000), Mg at (0.000, 0.500, 0.500), Pt at (0.000, 0.000, 0.500) and Pb at (0.500, 0.500, 0.000).


[6]
A relaxed structure of LaPm3NdSm, computed with GGA-PBE.

The formation energy is 0.016 eV per atom. The value obtained for the density of states at the Fermi level is 19.00 states/eV per cell.

It has space group P2_1/m (No. 11), with a = 8.194 Å, b = 5.203 Å, c = 10.371 Å, α = 90.00°, β = 108.45° and γ = 90.00°. Symmetry generates all atoms from La at (0.166, 0.250, 0.291), Pm at (0.167, 0.750, 0.543), Pm at (0.168, 0.250, 0.792), Pm at (0.169, 0.750, 0.041), Nd at (0.500, 0.250, 0.627) and Sm at (0.498, 0.750, 0.876).


[7]
A relaxed structure of Hf2Fe2Hg, computed with GGA-PBE.

The formation energy is -0.110 eV per atom. The value obtained for the offset from the most stable computed form is 0.0 meV per atom. The value obtained for the density of states at the Fermi level is 7.92 states/eV per cell.

It has space group P4/mbm (No. 127), with a = 7.144 Å, b = 7.144 Å, c = 3.357 Å, α = 90.00°, β = 90.00° and γ = 90.00°. Symmetry generates all atoms from Hf at (0.178, 0.322, 0.000), Fe at (0.113, 0.613, 0.500) and Hg at (0.000, 0.000, 0.500).


[8]
A relaxed structure of Ca11Bi10, computed with GGA-PBE.

The formation energy is -0.810 eV per atom. The value obtained for the density of states at the Fermi level is 26.90 states/eV per cell.

It has space group I4/mmm (No. 139), with a = 12.373 Å, b = 12.373 Å, c = 17.838 Å, α = 90.00°, β = 90.00° and γ = 90.00°. Symmetry generates all atoms from Ca at (0.000, 0.000, 0.165), Ca at (0.000, 0.251, 0.310), Ca at (0.000, 0.341, 0.104), Ca at (0.161, 0.161, 0.500), Bi at (0.000, 0.000, 0.372), Bi at (0.000, 0.348, 0.500), Bi at (0.000, 0.500, 0.250), Bi at (0.130, 0.130, 0.000) and Bi at (0.205, 0.205, 0.173).


[9]
A relaxed structure of La3Br2N, computed with GGA-PBE.

The value obtained for the density of states at the Fermi level is 16.16 states/eV per cell. Its formation energy (no corrections) is -1267 meV/atom.

It has space group C2/c (No. 15), with a = 7.950 Å, b = 12.013 Å, c = 6.663 Å, α = 90.00°, β = 107.66° and γ = 90.00°. Symmetry generates all atoms from La at (0.181, 0.073, 0.002), La at (0.250, 0.250, 0.500), Br at (0.000, 0.274, 0.750), Br at (0.000, 0.428, 0.250) and N at (0.000, 0.080, 0.250).


[10]
A relaxed structure of YCd2Se, computed with GGA-PBE.

The value obtained for the density of states at the Fermi level is 4.34 states/eV per cell. Its formation energy (no corrections) is -621 meV/atom.

It has space group Cm (No. 8), with a = 9.898 Å, b = 3.863 Å, c = 5.704 Å, α = 90.00°, β = 111.73° and γ = 90.00°. Symmetry generates all atoms from Y at (0.000, 0.000, 0.000), Cd at (0.046, 0.500, 0.554), Cd at (0.289, 0.500, 0.393) and Se at (0.286, 0.000, 0.990).


[11]
A relaxed structure of Zn3Pd6Pt, computed with GGA-PBE.

The formation energy is -0.353 eV per atom. The value obtained for the offset from the most stable computed form is 0.0 meV per atom. The value obtained for the density of states at the Fermi level is 15.25 states/eV per cell.

It has space group P2_1/m (No. 11), with a = 7.370 Å, b = 4.500 Å, c = 9.688 Å, α = 90.00°, β = 111.17° and γ = 90.00°. Symmetry generates all atoms from Zn at (0.064, 0.250, 0.382), Zn at (0.145, 0.750, 0.224), Zn at (0.274, 0.250, 0.978), Pd at (0.033, 0.750, 0.922), Pd at (0.151, 0.250, 0.684), Pd at (0.231, 0.750, 0.526), Pd at (0.341, 0.750, 0.830), Pd at (0.353, 0.250, 0.273), Pd at (0.432, 0.750, 0.127) and Pt at (0.461, 0.250, 0.573).


[12]
A relaxed structure of Tb2Pr5Er, computed with GGA-PBE.

The formation energy is 0.112 eV per atom. The value obtained for the density of states at the Fermi level is 47.69 states/eV per cell.

It has space group I4/mcm (No. 140), with a = 9.250 Å, b = 9.250 Å, c = 12.977 Å, α = 90.00°, β = 90.00° and γ = 90.00°. Symmetry generates all atoms from Tb at (0.145, 0.355, 0.000), Pr at (0.000, 0.000, 0.000), Pr at (0.150, 0.350, 0.336) and Er at (0.000, 0.000, 0.250).


Q: What is the formula in the fifth record?
A: YMg2PtPb